Material: SrZn2CuO4
Method: DFT, PBE-GGA
State: relaxed

Calculated values
mass density	5.9	g/cm³
electronic total energy	-77.49	eV/cell

abc: 5.702 5.702 11.169
angles: 90.00 90.00 147.39
Positions (direct):
1 Sr 0.128 0.872 0.750
2 Sr 0.872 0.128 0.250
3 Zn 0.372 0.628 0.533
4 Zn 0.372 0.628 0.967
5 Zn 0.628 0.372 0.033
6 Zn 0.628 0.372 0.467
7 Cu 0.136 0.864 0.250
8 Cu 0.864 0.136 0.750
9 O 0.000 0.000 0.000
10 O 0.000 0.000 0.500
11 O 0.253 0.747 0.111
12 O 0.253 0.747 0.389
13 O 0.458 0.542 0.750
14 O 0.542 0.458 0.250
15 O 0.747 0.253 0.611
16 O 0.747 0.253 0.889